No. 1
Entry from Alexandria: a relaxed structure of K2CrBiS4 (PBE).

Unit cell a=6.859 b=3.909 c=7.617 alpha=90.00 beta=107.05 gamma=90.00
Space group P2/m (No. 10)
One atom of each set of equivalent atoms:
K: 0.000 0.000 0.000 (multiplicity 1)
K: 0.500 0.500 0.000 (multiplicity 1)
Cr: 0.000 0.500 0.500 (multiplicity 1)
Bi: 0.500 0.000 0.500 (multiplicity 1)
S: 0.197 0.000 0.682 (multiplicity 2)
S: 0.232 0.500 0.301 (multiplicity 2)

Results
Raw formation energy in eV/f.u.: -6.4
Calculated total energy in eV per atom: -4.83
Magnetic moment in μB per atom: 0.375
Calculated density in g/cm3: 3.98

---

No. 2
Entry from Alexandria: a relaxed structure of KScCr2Bi (PBE).

Unit cell a=5.131 b=5.131 c=5.306 alpha=90.00 beta=90.00 gamma=90.00
Space group P4/mmm (No. 123)
One atom of each set of equivalent atoms:
K: 0.000 0.000 0.000 (multiplicity 1)
Sc: 0.000 0.000 0.500 (multiplicity 1)
Cr: 0.000 0.500 0.000 (multiplicity 2)
Bi: 0.500 0.500 0.500 (multiplicity 1)

Results
ΔE_f in eV/atom: 1.753
Calculated total energy in eV per atom: -4.36
Magnetic moment in μB per atom: 1.707
Calculated density in g/cm3: 4.72

---

No. 3
Entry from Alexandria: a relaxed structure of K3CrBi2Se6 (PBE).

Unit cell a=7.244 b=12.552 c=8.018 alpha=90.00 beta=107.73 gamma=90.00
Space group C2/m (No. 12)
One atom of each set of equivalent atoms:
K: 0.000 0.000 0.000 (multiplicity 2)
K: 0.000 0.325 0.000 (multiplicity 4)
Cr: 0.000 0.500 0.500 (multiplicity 2)
Bi: 0.000 0.165 0.500 (multiplicity 4)
Se: 0.215 0.351 0.698 (multiplicity 8)
Se: 0.229 0.500 0.300 (multiplicity 4)

Results
Raw formation energy in eV/f.u.: -9.4
Calculated total energy in eV per atom: -4.25
Magnetic moment in μB per atom: 0.249
Calculated density in g/cm3: 5.07

---

No. 4
Entry from Alexandria: a relaxed structure of KCrSiBi (PBE).

Unit cell a=8.184 b=3.833 c=7.343 alpha=90.00 beta=103.26 gamma=90.00
Space group Cm (No. 8)
One atom of each set of equivalent atoms:
K: 0.000 0.000 0.000 (multiplicity 2)
Cr: 0.468 0.000 0.411 (multiplicity 2)
Si: 0.256 0.500 0.341 (multiplicity 2)
Bi: 0.212 0.000 0.618 (multiplicity 2)

Results
Raw formation energy in eV/f.u.: 0.7
Calculated total energy in eV per atom: -4.84
Offset from the most stable computed form in meV per atom: 0
Magnetic moment in μB per atom: 0.845
Calculated density in g/cm3: 4.86